1.
This record from Alexandria describes a geometry-optimized VIr2Os2 structure. The functional is PBE.

a = 4.860 Å, b = 4.860 Å, c = 8.737 Å
α = 97.23°, β = 97.23°, γ = 123.18°
Fractional positions:
Os1 0.625 0.375 0.750
Os2 0.625 0.875 0.250
Os3 0.625 0.375 0.250
Os4 0.125 0.375 0.750
Ir1 0.167 0.833 0.000
Ir2 0.417 0.583 0.500
Ir3 0.083 0.917 0.500
Ir4 0.833 0.167 0.000
V1 0.500 0.500 0.000
V2 0.750 0.250 0.500

The formation energy from the elements comes out at 0.76 eV/atom. Its total energy is -9.096 eV/atom. The value obtained for the calculated density is 16.27 Mg/m³. The space group is Fddd.


2.
This record from Alexandria describes a geometry-optimized Re3WS structure. The functional is PBE.

a = 4.765 Å, b = 4.765 Å, c = 4.765 Å
α = 90.00°, β = 90.00°, γ = 90.00°
Site moments in Bohr magnetons follow the coordinates.
Fractional positions:
W1 0.000 0.000 0.000  -0.13
Re1 0.000 0.500 0.000  0.71
Re2 0.500 0.000 0.000  0.73
Re3 0.000 0.000 0.500  0.66
S1 0.500 0.500 0.500  -0.05

The value obtained for the energy above the most stable polymorph in this dataset is 1609.5 meV/atom. Its total energy is -8.208 eV/atom. The formation energy from raw total energies comes out at 2.677 eV/atom. The value obtained for the calculated density is 11.89 Mg/m³. The space group is Pm-3m.


3.
This record from Alexandria describes a geometry-optimized Zr2ScAg2 structure. The functional is PBE.

a = 8.250 Å, b = 8.250 Å, c = 3.169 Å
α = 90.00°, β = 90.00°, γ = 90.00°
Fractional positions:
Zr1 0.163 0.337 0.000
Zr2 0.337 0.837 0.000
Zr3 0.837 0.663 0.000
Zr4 0.663 0.163 0.000
Ag1 0.867 0.367 0.500
Ag2 0.133 0.633 0.500
Ag3 0.367 0.133 0.500
Ag4 0.633 0.867 0.500
Sc1 0.500 0.500 0.000
Sc2 0.000 0.000 0.000

The value obtained for the energy above the most stable polymorph in this dataset is 122.8 meV/atom. The formation energy from the elements comes out at 0.15 eV/atom. Its total energy is -5.672 eV/atom. The value obtained for the calculated density is 6.82 Mg/m³. The space group is P4/mbm.


4.
This record from Alexandria describes a geometry-optimized Th3InH structure. The functional is PBE.

a = 4.993 Å, b = 4.993 Å, c = 4.993 Å
α = 90.00°, β = 90.00°, γ = 90.00°
Fractional positions:
Th1 0.500 0.000 0.000
Th2 0.000 0.500 0.000
Th3 0.000 0.000 0.500
H1 0.000 0.000 0.000
In1 0.500 0.500 0.500

Its total energy is -5.909 eV/atom. The value obtained for the calculated density is 10.83 Mg/m³. The space group is Pm-3m.


5.
This record from Alexandria describes a geometry-optimized Nd5NpAs6 structure. The functional is PBE.

a = 7.349 Å, b = 7.349 Å, c = 7.350 Å
α = 99.59°, β = 99.59°, γ = 120.00°
Site moments in Bohr magnetons follow the coordinates.
Fractional positions:
As1 0.594 0.918 0.755  -0.04
As2 0.243 0.243 0.755  -0.04
As3 0.757 0.757 0.245  -0.04
As4 0.082 0.406 0.245  -0.04
As5 0.406 0.082 0.245  -0.04
As6 0.918 0.594 0.755  -0.04
Nd1 0.831 0.169 0.500  0.02
Nd2 0.666 0.334 0.000  0.02
Nd3 0.334 0.666 0.000  0.02
Nd4 0.169 0.831 0.500  0.02
Nd5 0.500 0.500 0.500  0.02
Np1 0.000 0.000 0.000  3.63

The formation energy from the elements comes out at -1.37 eV/atom. Its total energy is -6.758 eV/atom. The value obtained for the calculated density is 7.21 Mg/m³. The space group is C2/m.


6.
This record from Alexandria describes a geometry-optimized NdEr2TmCd4 structure. The functional is PBE.

a = 5.295 Å, b = 5.295 Å, c = 9.195 Å
α = 73.27°, β = 73.27°, γ = 60.00°
Fractional positions:
Er1 0.751 0.751 0.746
Er2 0.249 0.249 0.254
Tm1 0.500 0.500 0.500
Cd1 0.377 0.377 0.868
Cd2 0.127 0.127 0.620
Cd3 0.623 0.623 0.132
Cd4 0.873 0.873 0.380
Nd1 0.000 0.000 0.000

The formation energy from the elements comes out at -0.31 eV/atom. Its total energy is -3.062 eV/atom. The value obtained for the calculated density is 8.65 Mg/m³. The space group is R-3m.


7.
This record from Alexandria describes a geometry-optimized PmUN3 structure. The functional is PBE.

a = 3.753 Å, b = 7.020 Å, c = 7.126 Å
α = 54.36°, β = 74.73°, γ = 74.49°
Fractional positions:
N1 0.569 0.620 0.241
N2 0.082 0.053 0.783
N3 0.245 0.315 0.195
N4 0.755 0.685 0.805
N5 0.431 0.380 0.759
N6 0.918 0.947 0.217
Pm1 0.626 0.207 0.540
Pm2 0.374 0.793 0.460
U1 0.128 0.700 0.044
U2 0.872 0.300 0.956

Its total energy is -9.552 eV/atom. The formation energy from raw total energies comes out at -1.349 eV/atom. The value obtained for the calculated density is 9.69 Mg/m³. The space group is C2/m.


8.
This record from Alexandria describes a geometry-optimized NbGa3Br structure. The functional is PBE.

a = 5.241 Å, b = 5.241 Å, c = 5.241 Å
α = 90.00°, β = 90.00°, γ = 90.00°
Site moments in Bohr magnetons follow the coordinates.
Fractional positions:
Nb1 0.000 0.000 0.000  1.64
Ga1 0.000 0.500 0.000  0.16
Ga2 0.000 0.000 0.500  0.12
Ga3 0.500 0.000 0.000  0.10
Br1 0.500 0.500 0.500  0.23

The value obtained for the energy above the most stable polymorph in this dataset is 0.0 meV/atom. Its total energy is -3.699 eV/atom. The formation energy from raw total energies comes out at 0.466 eV/atom. The value obtained for the calculated density is 4.40 Mg/m³. The space group is Pm-3m.


9.
This record from Alexandria describes a geometry-optimized PPtCS2 structure. The functional is PBE.

a = 4.088 Å, b = 4.088 Å, c = 3.988 Å
α = 90.00°, β = 90.00°, γ = 90.00°
Fractional positions:
Pt1 0.500 0.500 0.500
P1 0.000 0.000 0.500
S1 0.000 0.500 0.000
S2 0.500 0.000 0.000
C1 0.000 0.000 0.000

The value obtained for the energy above the most stable polymorph in this dataset is 0.0 meV/atom. Its total energy is -4.539 eV/atom. The formation energy from raw total energies comes out at 1.246 eV/atom. The value obtained for the calculated density is 7.53 Mg/m³. The space group is P4/mmm.


10.
This record from Alexandria describes a geometry-optimized MnRuRh3 structure. The functional is PBE.

a = 4.395 Å, b = 4.395 Å, c = 4.395 Å
α = 90.00°, β = 90.00°, γ = 90.00°
Site moments in Bohr magnetons follow the coordinates.
Fractional positions:
Rh1 0.000 0.000 0.500  0.14
Rh2 0.500 0.000 0.000  0.42
Rh3 0.000 0.500 0.000  0.25
Ru1 0.500 0.500 0.500  2.18
Mn1 0.000 0.000 0.000  0.19

The value obtained for the energy above the most stable polymorph in this dataset is 0.0 meV/atom. The formation energy from the elements comes out at 1.25 eV/atom. Its total energy is -6.849 eV/atom. The value obtained for the calculated density is 9.09 Mg/m³. The space group is Pm-3m.


11.
This record from Alexandria describes a geometry-optimized LiCrSe2 structure. The functional is PBE.

a = 4.619 Å, b = 4.619 Å, c = 4.619 Å
α = 60.00°, β = 60.00°, γ = 60.00°
Site moments in Bohr magnetons follow the coordinates.
Fractional positions:
Cr1 0.500 0.500 0.500  3.37
Se1 0.250 0.250 0.250  -0.27
Se2 0.750 0.750 0.750  -0.27
Li1 0.000 0.000 0.000  0.01

Its total energy is -5.020 eV/atom. The formation energy from raw total energies comes out at -0.394 eV/atom. The value obtained for the calculated density is 5.17 Mg/m³. The space group is Fm-3m.


12.
This record from Alexandria describes a geometry-optimized RbBaInCl6 structure. The functional is PBE.

a = 7.572 Å, b = 7.572 Å, c = 13.306 Å
α = 90.00°, β = 90.00°, γ = 120.00°
Fractional positions:
Cl1 0.395 0.053 0.138
Cl2 0.053 0.395 0.638
Cl3 0.605 0.658 0.638
Cl4 0.053 0.658 0.862
Cl5 0.947 0.342 0.138
Cl6 0.947 0.605 0.362
Cl7 0.342 0.395 0.862
Cl8 0.395 0.342 0.362
Cl9 0.658 0.053 0.362
Cl10 0.658 0.605 0.138
Cl11 0.605 0.947 0.862
Cl12 0.342 0.947 0.638
Rb1 0.000 0.000 0.000
Rb2 0.000 0.000 0.500
In1 0.333 0.667 0.750
In2 0.667 0.333 0.250
Ba1 0.667 0.333 0.750
Ba2 0.333 0.667 0.250

Its total energy is -3.631 eV/atom. The formation energy from raw total energies comes out at -1.775 eV/atom. The value obtained for the calculated density is 2.77 Mg/m³. The space group is P-31c.


13.
This record from Alexandria describes a geometry-optimized VGeH structure. The functional is PBE.

a = 3.104 Å, b = 4.701 Å, c = 8.705 Å
α = 90.00°, β = 90.00°, γ = 90.00°
Fractional positions:
V1 0.000 0.362 0.875
V2 0.500 0.638 0.375
V3 0.000 0.862 0.625
V4 0.500 0.138 0.125
H1 0.500 0.401 0.974
H2 0.000 0.099 0.026
H3 0.500 0.901 0.526
H4 0.000 0.599 0.474
Ge1 0.500 0.358 0.639
Ge2 0.500 0.858 0.861
Ge3 0.000 0.142 0.361
Ge4 0.000 0.642 0.139

The value obtained for the energy above the most stable polymorph in this dataset is 90.9 meV/atom. Its total energy is -5.785 eV/atom. The value obtained for the calculated density is 6.52 Mg/m³. The space group is Pnma.


14.
This record from Alexandria describes a geometry-optimized TaCrAg2 structure. The functional is PBE.

a = 3.252 Å, b = 3.250 Å, c = 6.340 Å
α = 90.00°, β = 90.00°, γ = 90.00°
Site moments in Bohr magnetons follow the coordinates.
Fractional positions:
Cr1 0.000 0.000 0.527  1.33
Ag1 0.000 0.000 0.000  -0.02
Ag2 0.500 0.500 0.258  0.01
Ta1 0.500 0.500 0.716  -0.29

The value obtained for the energy above the most stable polymorph in this dataset is 57.5 meV/atom. The formation energy from the elements comes out at 0.37 eV/atom. Its total energy is -6.428 eV/atom. The value obtained for the calculated density is 11.12 Mg/m³. The space group is P4mm.


15.
This record from Alexandria describes a geometry-optimized Al2TlHg2 structure. The functional is PBE.

a = 8.653 Å, b = 8.653 Å, c = 3.133 Å
α = 90.00°, β = 90.00°, γ = 90.00°
Fractional positions:
Hg1 0.170 0.330 0.000
Hg2 0.670 0.170 0.000
Hg3 0.830 0.670 0.000
Hg4 0.330 0.830 0.000
Tl1 0.500 0.500 0.000
Tl2 0.000 0.000 0.000
Al1 0.877 0.377 0.500
Al2 0.123 0.623 0.500
Al3 0.377 0.123 0.500
Al4 0.623 0.877 0.500

The value obtained for the energy above the most stable polymorph in this dataset is 44.3 meV/atom. The formation energy from the elements comes out at 0.18 eV/atom. Its total energy is -1.913 eV/atom. The value obtained for the calculated density is 9.34 Mg/m³. The space group is P4/mbm.


16.
This record from Alexandria describes a geometry-optimized Er3TlHg4 structure. The functional is PBE.

a = 5.105 Å, b = 3.606 Å, c = 13.777 Å
α = 113.01°, β = 100.68°, γ = 90.00°
Fractional positions:
Tl1 0.500 0.000 0.000
Hg1 0.900 0.700 0.799
Hg2 0.100 0.300 0.201
Hg3 0.324 0.474 0.648
Hg4 0.676 0.526 0.352
Er1 0.797 0.891 0.593
Er2 0.000 0.500 0.000
Er3 0.203 0.109 0.407

The value obtained for the energy above the most stable polymorph in this dataset is 150.2 meV/atom. The formation energy from the elements comes out at -0.23 eV/atom. Its total energy is -2.387 eV/atom. The value obtained for the calculated density is 10.96 Mg/m³. The space group is C2/m.


17.
This record from Alexandria describes a geometry-optimized InTe2Pb3F6 structure. The functional is PBE.

a = 5.809 Å, b = 6.674 Å, c = 8.467 Å
α = 113.21°, β = 90.65°, γ = 90.00°
Fractional positions:
Pb1 0.500 0.500 0.500
Pb2 0.000 0.500 0.000
Pb3 0.500 0.000 0.500
F1 0.730 0.263 0.063
F2 0.730 0.800 0.063
F3 0.270 0.737 0.937
F4 0.416 0.134 0.267
F5 0.584 0.866 0.733
F6 0.270 0.200 0.937
Te1 0.014 0.726 0.452
Te2 0.986 0.274 0.548
In1 0.500 0.000 0.000

Its total energy is -4.280 eV/atom. The formation energy from raw total energies comes out at -1.666 eV/atom. The value obtained for the calculated density is 6.09 Mg/m³. The space group is C2/m.


18.
This record from Alexandria describes a geometry-optimized UCo2Os structure. The functional is PBE.

a = 4.276 Å, b = 4.276 Å, c = 4.454 Å
α = 61.31°, β = 61.31°, γ = 60.00°
Site moments in Bohr magnetons follow the coordinates.
Fractional positions:
U1 0.500 0.500 0.500  -0.54
Co1 0.773 0.773 0.682  0.45
Co2 0.227 0.227 0.318  0.45
Os1 0.000 0.000 0.000  0.31

The formation energy from the elements comes out at 0.09 eV/atom. Its total energy is -9.092 eV/atom. The value obtained for the calculated density is 15.45 Mg/m³. The space group is R-3m.


19.
This record from Alexandria describes a geometry-optimized CdGaAs2Se structure. The functional is PBE.

a = 4.941 Å, b = 4.941 Å, c = 5.069 Å
α = 90.00°, β = 90.00°, γ = 90.00°
Fractional positions:
Ga1 0.000 0.000 0.000
As1 0.000 0.500 0.000
As2 0.500 0.000 0.000
Cd1 0.500 0.500 0.500
Se1 0.000 0.000 0.500

The value obtained for the energy above the most stable polymorph in this dataset is 0.0 meV/atom. Its total energy is -2.812 eV/atom. The formation energy from raw total energies comes out at 0.533 eV/atom. The value obtained for the calculated density is 5.51 Mg/m³. The space group is P4/mmm.


20.
This record from Alexandria describes a geometry-optimized CaLaCd2 structure. The functional is PBE.

a = 6.681 Å, b = 6.681 Å, c = 6.681 Å
α = 148.07°, β = 130.86°, γ = 59.81°
Site moments in Bohr magnetons follow the coordinates.
Fractional positions:
La1 0.523 0.523 0.000  0.10
Ca1 0.230 0.730 0.500  0.01
Cd1 0.772 0.272 0.500  0.00
Cd2 0.974 0.974 0.000  0.00

The value obtained for the energy above the most stable polymorph in this dataset is 136.9 meV/atom. The formation energy from the elements comes out at -0.24 eV/atom. Its total energy is -2.433 eV/atom. The value obtained for the calculated density is 5.67 Mg/m³. The space group is Imm2.